Entry 1:
Compound: Ti2Rh2F
Source: the Alexandria database
Functional: PBE-GGA
Structure: optimized geometry

For the total DFT energy (no corrections), the calculation gives -69.4 eV per cell. For the formation energy (no corrections), the calculation gives -2.32 eV per formula unit. For the density of states at the Fermi level, the calculation gives 11.52 states/eV/cell. Its energy relative to the lowest polymorph listed for this composition is 331.8 meV per atom.

The structure belongs to space group I4/mmm (No. 139); the cell edges are 3.7585, 3.7585 and 12.9712 Å and the angles 90.00°, 90.00° and 90.00°. Symmetry generates all atoms from Ti at (0.0000, 0.0000, 0.1246), Rh at (0.0000, 0.5000, 0.2500) and F at (0.0000, 0.0000, 0.5000).

Entry 2:
Compound: TiRh2F
Source: the Alexandria database
Functional: PBE-GGA
Structure: optimized geometry

For the total DFT energy (no corrections), the calculation gives -104.3 eV per cell. For the formation energy (no corrections), the calculation gives -1.60 eV per formula unit. For the density of states at the Fermi level, the calculation gives 7.41 states/eV/cell. Its energy relative to the lowest polymorph listed for this composition is 57.2 meV per atom.

The structure belongs to space group I-42d (No. 122); the cell edges are 6.5715, 6.5715 and 5.3393 Å and the angles 90.00°, 90.00° and 90.00°. Symmetry generates all atoms from Ti at (0.0000, 0.0000, 0.0000), Rh at (0.2413, 0.7500, 0.6250) and F at (0.0000, 0.0000, 0.5000).

Entry 3:
Compound: Ti3RhF
Source: the Alexandria database
Functional: PBE-GGA
Structure: optimized geometry

For the total DFT energy (no corrections), the calculation gives -36.6 eV per cell. For the formation energy (no corrections), the calculation gives -3.68 eV per formula unit. For the density of states at the Fermi level, the calculation gives 4.48 states/eV/cell. Its energy relative to the lowest polymorph listed for this composition is 0.0 meV per atom.

The structure belongs to space group Pm-3m (No. 221); the cell edges are 4.1444, 4.1444 and 4.1444 Å and the angles 90.00°, 90.00° and 90.00°. Symmetry generates all atoms from Ti at (0.0000, 0.0000, 0.5000), Rh at (0.5000, 0.5000, 0.5000) and F at (0.0000, 0.0000, 0.0000).

Entry 4:
Compound: TiRhF
Source: the Alexandria database
Functional: PBE-GGA
Structure: optimized geometry

For the total DFT energy (no corrections), the calculation gives -84.2 eV per cell. For the formation energy (no corrections), the calculation gives -3.92 eV per formula unit.

The structure belongs to space group C2/m (No. 12); the cell edges are 5.0058, 5.0020 and 7.0515 Å and the angles 90.00°, 92.41° and 90.00°. Symmetry generates all atoms from Ti at (0.2384, 0.0000, 0.3744), Rh at (0.2421, 0.5000, 0.2727) and F at (0.2429, 0.5000, 0.9001).

Entry 5:
Compound: TiRhF3
Source: the Alexandria database
Functional: PBE-GGA
Structure: optimized geometry

For the total DFT energy (no corrections), the calculation gives -28.8 eV per cell. For the formation energy (no corrections), the calculation gives -7.91 eV per formula unit. For the density of states at the Fermi level, the calculation gives 8.48 states/eV/cell. Its energy relative to the lowest polymorph listed for this composition is 0.0 meV per atom.

The structure belongs to space group Pm-3m (No. 221); the cell edges are 4.0285, 4.0285 and 4.0285 Å and the angles 90.00°, 90.00° and 90.00°. Symmetry generates all atoms from Ti at (0.0000, 0.0000, 0.0000), Rh at (0.5000, 0.5000, 0.5000) and F at (0.0000, 0.0000, 0.5000).

Entry 6:
Compound: TiRhF2
Source: the Alexandria database
Functional: PBE-GGA
Structure: optimized geometry

For the total DFT energy (no corrections), the calculation gives -75.9 eV per cell. For the formation energy (no corrections), the calculation gives -6.31 eV per formula unit. For the density of states at the Fermi level, the calculation gives 8.66 states/eV/cell. Its energy relative to the lowest polymorph listed for this composition is 0.0 meV per atom.

The structure belongs to space group R-3m (No. 166, hexagonal axes); the cell edges are 2.7019, 2.7019 and 28.6658 Å and the angles 90.00°, 90.00° and 120.00°. Symmetry generates all atoms from Ti at (0.0000, 0.0000, 0.0000), Rh at (0.0000, 0.0000, 0.5000) and F at (0.0000, 0.0000, 0.3819).